Record 1
The following is a DFT calculation (PBE with a Hubbard U) of a geometry-optimized LaV2GaO8 structure.

Cell lengths 5.5503, 5.5503, 6.6030 Å; angles 90.00, 90.00, 120.00 degrees
Space group P-3m1 (No. 164)
One atom of each set of equivalent atoms:
La  0.0000  0.0000  0.0000 x1
V  0.3333  0.6667  0.2362 x2
Ga  0.0000  0.0000  0.5000 x1
O  0.1571  0.3143  0.3066 x6
O  0.3333  0.6667  0.9817 x2

The calculation puts the total magnetization at 0.00 μB/f.u.


Record 2
The following is a DFT calculation (PBE with a Hubbard U) of a geometry-optimized LaGa2WO8 structure.

Cell lengths 6.5547, 6.6849, 6.7566 Å; angles 90.00, 90.00, 90.00 degrees
Space group Cmmm (No. 65)
One atom of each set of equivalent atoms:
La  0.0000  0.0000  0.0000 x2
Ga  0.0000  0.5000  0.2742 x4
W  0.0000  0.0000  0.5000 x2
O  0.0000  0.2961  0.5000 x4
O  0.0000  0.3410  0.0000 x4
O  0.2032  0.0000  0.2920 x8

The calculation puts the total magnetization at 0.21 μB/f.u.


no.,energy (eV per atom)
1,-7.4420
2,-6.8409